Compound: FeSbAuF2
Source: Alexandria via LeMat-Bulk
Functional: GGA+U
Structure: relaxed

Computed properties:
Total energy: -17.2 eV per cell
D(E_F): 5.2 states/eV per cell
Total magnetic moment: 3.8 Bohr magnetons per cell
Space-group type: P4/mmm, No. 123
Relative energy among the computed polymorphs: 1.106 eV/atom

Cell: 4.2552 4.2552 5.7166 Å, 90.00 90.00 90.00°
With the nearest neighbours (Å) after each atom.
Sites, in units of the cell vectors:
1 Fe 0.0000 0.0000 0.0000  4 Sb 3.01
2 Sb 0.5000 0.5000 0.0000  2 Au 2.86, 4 Fe 3.01
3 Au 0.5000 0.5000 0.5000  4 F 2.13
4 F 0.0000 0.5000 0.5000  2 Au 2.13
5 F 0.5000 0.0000 0.5000  2 Au 2.13